# CeGe2Rh4 | Alexandria | PBE-GGA | relaxed
# DOS at the Fermi energy ... 1.3 states/eV per cell
# Formation enthalpy at 0 K ... -518 meV per atom
# Energy above the lowest structure with this stoichiometry ... 161 meV per atom
# DFT total energy ... -6.885 eV per atom
data_CeGe2Rh4
_chemical_formula_sum 'Ce1 Ge2 Rh4'
_cell_length_a 4.010
_cell_length_b 4.010
_cell_length_c 9.398
_cell_angle_alpha 112.65
_cell_angle_beta 112.65
_cell_angle_gamma 87.14
_space_group_name_H-M_alt 'P 1'
_space_group_IT_number 1
loop_
_space_group_symop_operation_xyz
'x,y,z'
loop_
_atom_site_label
_atom_site_fract_x
_atom_site_fract_y
_atom_site_fract_z
Ge1 0.597 0.597 0.309
Ge2 0.403 0.403 0.691
Rh1 0.745 0.255 0.500
Ce1 0.000 0.000 0.000
Rh2 0.014 0.014 0.763
Rh3 0.255 0.745 0.500
Rh4 0.986 0.986 0.237


# Ca2YNi | Alexandria | PBE-GGA | relaxed
# DOS at the Fermi energy ... 3.0 states/eV per cell
# Formation enthalpy at 0 K ... -101 meV per atom
# Energy above the lowest structure with this stoichiometry ... 6 meV per atom
# DFT total energy ... -4.163 eV per atom
data_Ca2YNi
_chemical_formula_sum 'Ca2 Y1 Ni1'
_cell_length_a 3.529
_cell_length_b 3.529
_cell_length_c 9.359
_cell_angle_alpha 90.00
_cell_angle_beta 90.00
_cell_angle_gamma 89.97
_space_group_name_H-M_alt 'P 1'
_space_group_IT_number 1
loop_
_space_group_symop_operation_xyz
'x,y,z'
loop_
_atom_site_label
_atom_site_fract_x
_atom_site_fract_y
_atom_site_fract_z
Y1 0.500 0.500 0.670
Ca1 0.500 0.500 0.322
Ni1 0.000 0.000 0.523
Ca2 0.000 0.000 0.985


# CaSmAs2Pd5 | Alexandria | PBE-GGA | relaxed
# DOS at the Fermi energy ... 2.2 states/eV per cell
# Formation enthalpy at 0 K ... -753 meV per atom
# DFT total energy ... -5.418 eV per atom
data_CaSmAs2Pd5
_chemical_formula_sum 'Ca1 Sm1 As2 Pd5'
_cell_length_a 4.297
_cell_length_b 4.297
_cell_length_c 9.006
_cell_angle_alpha 90.00
_cell_angle_beta 90.00
_cell_angle_gamma 90.00
_space_group_name_H-M_alt 'P 1'
_space_group_IT_number 1
loop_
_space_group_symop_operation_xyz
'x,y,z'
loop_
_atom_site_label
_atom_site_fract_x
_atom_site_fract_y
_atom_site_fract_z
As1 0.500 0.500 0.861
As2 0.500 0.500 0.139
Pd1 0.000 0.500 0.274
Pd2 0.500 0.000 0.274
Pd3 0.000 0.500 0.726
Sm1 0.000 0.000 0.000
Pd4 0.500 0.500 0.500
Ca1 0.000 0.000 0.500
Pd5 0.500 0.000 0.726


# LaBPt4 | Alexandria | PBE-GGA | relaxed
# DOS at the Fermi energy ... 4.2 states/eV per cell
# Formation enthalpy at 0 K ... -664 meV per atom
# DFT total energy ... -6.625 eV per atom
data_LaBPt4
_chemical_formula_sum 'La2 B2 Pt8'
_cell_length_a 5.742
_cell_length_b 5.704
_cell_length_c 8.156
_cell_angle_alpha 115.27
_cell_angle_beta 110.58
_cell_angle_gamma 90.01
_space_group_name_H-M_alt 'P 1'
_space_group_IT_number 1
loop_
_space_group_symop_operation_xyz
'x,y,z'
loop_
_atom_site_label
_atom_site_fract_x
_atom_site_fract_y
_atom_site_fract_z
B1 0.000 0.500 0.500
La1 0.263 0.249 0.999
Pt1 0.872 0.395 0.189
Pt2 0.332 0.664 0.501
Pt3 0.168 0.164 0.500
Pt4 0.682 0.106 0.811
Pt5 0.128 0.605 0.811
Pt6 0.832 0.836 0.500
B2 0.500 0.000 0.500
Pt7 0.668 0.336 0.499
Pt8 0.318 0.894 0.189
La2 0.737 0.751 0.001


# K2Tl7Hg | Alexandria | PBE-GGA | relaxed
# DOS at the Fermi energy ... 6.5 states/eV per cell
# Formation enthalpy at 0 K ... -58 meV per atom
# DFT total energy ... -1.964 eV per atom
data_K2Tl7Hg
_chemical_formula_sum 'K2 Tl7 Hg1'
_cell_length_a 5.325
_cell_length_b 5.325
_cell_length_c 12.648
_cell_angle_alpha 90.00
_cell_angle_beta 90.00
_cell_angle_gamma 90.00
_space_group_name_H-M_alt 'P 1'
_space_group_IT_number 1
loop_
_space_group_symop_operation_xyz
'x,y,z'
loop_
_atom_site_label
_atom_site_fract_x
_atom_site_fract_y
_atom_site_fract_z
K1 0.500 0.000 0.755
Tl1 0.500 0.500 0.500
Hg1 0.500 0.500 0.000
Tl2 0.000 0.000 0.000
Tl3 0.500 0.000 0.365
Tl4 0.500 0.000 0.126
Tl5 0.000 0.000 0.500
Tl6 0.000 0.500 0.874
Tl7 0.000 0.500 0.635
K2 0.000 0.500 0.245


# Ce2MgNi4Ge3 | Alexandria | PBE-GGA | relaxed
# DOS at the Fermi energy ... 11.1 states/eV per cell
# Formation enthalpy at 0 K ... -593 meV per atom
# DFT total energy ... -5.637 eV per atom
data_Ce2MgNi4Ge3
_chemical_formula_sum 'Ce2 Mg1 Ni4 Ge3'
_cell_length_a 4.107
_cell_length_b 4.107
_cell_length_c 10.025
_cell_angle_alpha 90.00
_cell_angle_beta 90.00
_cell_angle_gamma 90.00
_space_group_name_H-M_alt 'P 1'
_space_group_IT_number 1
loop_
_space_group_symop_operation_xyz
'x,y,z'
loop_
_atom_site_label
_atom_site_fract_x
_atom_site_fract_y
_atom_site_fract_z
Ni1 0.500 0.500 0.000
Ge1 0.000 0.500 0.124
Ge2 0.000 0.000 0.500
Ce1 0.000 0.500 0.761
Ni2 0.000 0.500 0.358
Ce2 0.500 0.000 0.239
Mg1 0.500 0.500 0.500
Ni3 0.000 0.000 0.000
Ge3 0.500 0.000 0.876
Ni4 0.500 0.000 0.642


# NpB4Ru | Alexandria | PBE-GGA | relaxed
# DOS at the Fermi energy ... 22.9 states/eV per cell
# Formation enthalpy at 0 K ... -471 meV per atom
# Energy above the lowest structure with this stoichiometry ... 0 meV per atom
# DFT total energy ... -8.625 eV per atom
data_NpB4Ru
_chemical_formula_sum 'Np4 B16 Ru4'
_cell_length_a 3.500
_cell_length_b 5.995
_cell_length_c 11.612
_cell_angle_alpha 90.00
_cell_angle_beta 90.00
_cell_angle_gamma 90.00
_space_group_name_H-M_alt 'P 1'
_space_group_IT_number 1
loop_
_space_group_symop_operation_xyz
'x,y,z'
loop_
_atom_site_label
_atom_site_fract_x
_atom_site_fract_y
_atom_site_fract_z
Np1 0.000 0.127 0.150
Np2 0.000 0.373 0.650
B1 0.500 0.213 0.813
B2 0.500 0.366 0.468
Ru1 0.000 0.863 0.592
Ru2 0.000 0.363 0.908
B3 0.500 0.885 0.453
B4 0.500 0.134 0.968
B5 0.500 0.287 0.313
B6 0.500 0.385 0.047
B7 0.500 0.472 0.192
B8 0.500 0.115 0.547
Ru3 0.000 0.637 0.092
Np3 0.000 0.873 0.850
B9 0.500 0.713 0.687
B10 0.500 0.787 0.187
B11 0.500 0.615 0.953
B12 0.500 0.866 0.032
Np4 0.000 0.627 0.350
B13 0.500 0.028 0.692
B14 0.500 0.528 0.808
B15 0.500 0.972 0.308
B16 0.500 0.634 0.532
Ru4 0.000 0.137 0.408


# NdDyTe3 | Alexandria | PBE-GGA | relaxed
# DOS at the Fermi energy ... 0.3 states/eV per cell
# Energy above the lowest structure with this stoichiometry ... 3 meV per atom
# Raw formation energy ... -1.414 eV/atom
# DFT total energy ... -5.173 eV per atom
data_NdDyTe3
_chemical_formula_sum 'Nd2 Dy2 Te6'
_cell_length_a 4.316
_cell_length_b 7.456
_cell_length_c 10.841
_cell_angle_alpha 90.00
_cell_angle_beta 90.00
_cell_angle_gamma 106.82
_space_group_name_H-M_alt 'P 1'
_space_group_IT_number 1
loop_
_space_group_symop_operation_xyz
'x,y,z'
loop_
_atom_site_label
_atom_site_fract_x
_atom_site_fract_y
_atom_site_fract_z
Te1 0.091 0.181 0.750
Dy1 0.000 0.000 0.500
Dy2 0.000 0.000 0.000
Nd1 0.751 0.502 0.750
Te2 0.647 0.293 0.063
Te3 0.647 0.293 0.437
Nd2 0.249 0.498 0.250
Te4 0.353 0.707 0.937
Te5 0.353 0.707 0.563
Te6 0.909 0.819 0.250